Record 1
# LuFe6Sn6 | Alexandria via LeMat-Bulk | SCAN | single point on PBEsol structure
data_LuFe6Sn6
_chemical_formula_sum 'Lu1 Fe6 Sn6'
_symmetry_space_group_name_H-M 'P 6/m m m'
_symmetry_Int_Tables_number 191
_symmetry_space_group_name_Hall '-P 6 2'
_cell_length_a 5.3017
_cell_length_b 5.3017
_cell_length_c 8.7610
_cell_angle_alpha 90.00
_cell_angle_beta 90.00
_cell_angle_gamma 120.00
loop_
_atom_site_label
_atom_site_type_symbol
_atom_site_fract_x
_atom_site_fract_y
_atom_site_fract_z
Lu1 Lu 0.0000 0.0000 0.0000
Fe1 Fe 0.0000 0.5000 0.2465
Sn1 Sn 0.0000 0.0000 0.3356
Sn2 Sn 0.3333 0.6667 0.0000
Sn3 Sn 0.3333 0.6667 0.5000
# - Fermi-level density of states (states/eV/cell) = 5.32
# - calculated total energy (eV per cell) = -381.06

Record 2
# MgFe2 | Alexandria via LeMat-Bulk | SCAN | single point on PBEsol structure
data_MgFe2
_chemical_formula_sum 'Mg4 Fe8'
_symmetry_space_group_name_H-M 'F m m m'
_symmetry_Int_Tables_number 69
_symmetry_space_group_name_Hall '-F 2 2'
_cell_length_a 3.082
_cell_length_b 4.191
_cell_length_c 12.249
_cell_angle_alpha 90.00
_cell_angle_beta 90.00
_cell_angle_gamma 90.00
loop_
_atom_site_label
_atom_site_type_symbol
_atom_site_fract_x
_atom_site_fract_y
_atom_site_fract_z
Mg1 Mg 0.000 0.000 0.000
Fe1 Fe 0.000 0.000 0.322
# - Fermi-level density of states (states/eV/cell) = 9.53
# - calculated total energy (eV per cell) = -162.30

Record 3
# Mg3Fe | Alexandria via LeMat-Bulk | SCAN | single point on PBEsol structure
data_Mg3Fe
_chemical_formula_sum 'Mg3 Fe1'
_symmetry_space_group_name_H-M 'P 4/m m m'
_symmetry_Int_Tables_number 123
_symmetry_space_group_name_Hall '-P 4 2'
_cell_length_a 2.918
_cell_length_b 2.918
_cell_length_c 8.563
_cell_angle_alpha 90.00
_cell_angle_beta 90.00
_cell_angle_gamma 90.00
loop_
_atom_site_label
_atom_site_type_symbol
_atom_site_fract_x
_atom_site_fract_y
_atom_site_fract_z
Mg1 Mg 0.000 0.000 0.000
Mg2 Mg 0.500 0.500 0.291
Fe1 Fe 0.000 0.000 0.500
# - Fermi-level density of states (states/eV/cell) = 1.66
# - calculated total energy (eV per cell) = -32.45

Record 4
# Mg3Fe | Alexandria via LeMat-Bulk | SCAN | single point on PBEsol structure
data_Mg3Fe
_chemical_formula_sum 'Mg3 Fe1'
_symmetry_space_group_name_H-M 'P -6 m 2'
_symmetry_Int_Tables_number 187
_symmetry_space_group_name_Hall 'P -6 2'
_cell_length_a 2.9709
_cell_length_b 2.9709
_cell_length_c 9.5621
_cell_angle_alpha 90.00
_cell_angle_beta 90.00
_cell_angle_gamma 120.00
loop_
_atom_site_label
_atom_site_type_symbol
_atom_site_fract_x
_atom_site_fract_y
_atom_site_fract_z
Mg1 Mg 0.0000 0.0000 0.0000
Mg2 Mg 0.3333 0.6667 0.2802
Fe1 Fe 0.0000 0.0000 0.5000
# - Fermi-level density of states (states/eV/cell) = 2.16
# - calculated total energy (eV per cell) = -32.29

Record 5
# Mg5Fe | Alexandria via LeMat-Bulk | SCAN | single point on PBEsol structure
data_Mg5Fe
_chemical_formula_sum 'Mg5 Fe1'
_symmetry_space_group_name_H-M 'P 6/m m m'
_symmetry_Int_Tables_number 191
_symmetry_space_group_name_Hall '-P 6 2'
_cell_length_a 5.5428
_cell_length_b 5.5428
_cell_length_c 5.0144
_cell_angle_alpha 90.00
_cell_angle_beta 90.00
_cell_angle_gamma 120.00
loop_
_atom_site_label
_atom_site_type_symbol
_atom_site_fract_x
_atom_site_fract_y
_atom_site_fract_z
Mg1 Mg 0.0000 0.5000 0.0000
Mg2 Mg 0.3333 0.6667 0.5000
Fe1 Fe 0.0000 0.0000 0.5000
# - Fermi-level density of states (states/eV/cell) = 4.58
# - excess energy over the best structure of this formula in the dataset (eV per atom) = 0.406
# - calculated total energy (eV per cell) = -39.83

Record 6
# Mg5Fe | Alexandria via LeMat-Bulk | SCAN | single point on PBEsol structure
data_Mg5Fe
_chemical_formula_sum 'Mg10 Fe2'
_symmetry_space_group_name_H-M 'C m m m'
_symmetry_Int_Tables_number 65
_symmetry_space_group_name_Hall '-C 2 2'
_cell_length_a 4.273
_cell_length_b 12.618
_cell_length_c 4.286
_cell_angle_alpha 90.00
_cell_angle_beta 90.00
_cell_angle_gamma 90.00
loop_
_atom_site_label
_atom_site_type_symbol
_atom_site_fract_x
_atom_site_fract_y
_atom_site_fract_z
Mg1 Mg 0.000 0.000 0.000
Mg2 Mg 0.000 0.156 0.500
Mg3 Mg 0.000 0.344 0.000
Fe1 Fe 0.000 0.500 0.500
# - Fermi-level density of states (states/eV/cell) = 4.92
# - excess energy over the best structure of this formula in the dataset (eV per atom) = 0.000
# - calculated total energy (eV per cell) = -84.54

Record 7
# MgFe3 | Alexandria via LeMat-Bulk | SCAN | single point on PBEsol structure
data_MgFe3
_chemical_formula_sum 'Mg4 Fe12'
_symmetry_space_group_name_H-M 'F m -3 m'
_symmetry_Int_Tables_number 225
_symmetry_space_group_name_Hall '-F 4 2 3'
_cell_length_a 5.833
_cell_length_b 5.833
_cell_length_c 5.833
_cell_angle_alpha 90.00
_cell_angle_beta 90.00
_cell_angle_gamma 90.00
loop_
_atom_site_label
_atom_site_type_symbol
_atom_site_fract_x
_atom_site_fract_y
_atom_site_fract_z
Mg1 Mg 0.000 0.000 0.000
Fe1 Fe 0.000 0.000 0.500
Fe2 Fe 0.250 0.250 0.250
# - Fermi-level density of states (states/eV/cell) = 6.72
# - calculated total energy (eV per cell) = -234.19

Record 8
# Mg3Fe2 | Alexandria via LeMat-Bulk | SCAN | single point on PBEsol structure
data_Mg3Fe2
_chemical_formula_sum 'Mg3 Fe2'
_symmetry_space_group_name_H-M 'P -3 m 1'
_symmetry_Int_Tables_number 164
_symmetry_space_group_name_Hall '-P 3 2"'
_cell_length_a 4.3256
_cell_length_b 4.3256
_cell_length_c 5.5071
_cell_angle_alpha 90.00
_cell_angle_beta 90.00
_cell_angle_gamma 120.00
loop_
_atom_site_label
_atom_site_type_symbol
_atom_site_fract_x
_atom_site_fract_y
_atom_site_fract_z
Mg1 Mg 0.0000 0.0000 0.0000
Mg2 Mg 0.3333 0.6667 0.3631
Fe1 Fe 0.3333 0.6667 0.9045
# - Fermi-level density of states (states/eV/cell) = 3.05
# - calculated total energy (eV per cell) = -49.46

Record 9
# MgFe3 | Alexandria via LeMat-Bulk | SCAN | single point on PBEsol structure
data_MgFe3
_chemical_formula_sum 'Mg1 Fe3'
_symmetry_space_group_name_H-M 'P 4/m m m'
_symmetry_Int_Tables_number 123
_symmetry_space_group_name_Hall '-P 4 2'
_cell_length_a 2.952
_cell_length_b 2.952
_cell_length_c 5.932
_cell_angle_alpha 90.00
_cell_angle_beta 90.00
_cell_angle_gamma 90.00
loop_
_atom_site_label
_atom_site_type_symbol
_atom_site_fract_x
_atom_site_fract_y
_atom_site_fract_z
Mg1 Mg 0.000 0.000 0.000
Fe1 Fe 0.000 0.000 0.500
Fe2 Fe 0.500 0.500 0.294
# - Fermi-level density of states (states/eV/cell) = 2.57
# - calculated total energy (eV per cell) = -58.78

Record 10
# MgFe3 | Alexandria via LeMat-Bulk | SCAN | single point on PBEsol structure
data_MgFe3
_chemical_formula_sum 'Mg3 Fe9'
_symmetry_space_group_name_H-M 'R -3 m'
_symmetry_Int_Tables_number 166
_symmetry_space_group_name_Hall '-R 3 2"'
_cell_length_a 2.6838
_cell_length_b 2.6838
_cell_length_c 24.6835
_cell_angle_alpha 90.00
_cell_angle_beta 90.00
_cell_angle_gamma 120.00
loop_
_atom_site_label
_atom_site_type_symbol
_atom_site_fract_x
_atom_site_fract_y
_atom_site_fract_z
Mg1 Mg 0.0000 0.0000 0.0000
Fe1 Fe 0.0000 0.0000 0.2421
Fe2 Fe 0.0000 0.0000 0.5000
# - Fermi-level density of states (states/eV/cell) = 8.77
# - calculated total energy (eV per cell) = -175.12

Record 11
# MgFe2 | Alexandria via LeMat-Bulk | SCAN | single point on PBEsol structure
data_MgFe2
_chemical_formula_sum 'Mg4 Fe8'
_symmetry_space_group_name_H-M 'C m c m'
_symmetry_Int_Tables_number 63
_symmetry_space_group_name_Hall '-C 2c 2'
_cell_length_a 2.529
_cell_length_b 14.216
_cell_length_c 4.333
_cell_angle_alpha 90.00
_cell_angle_beta 90.00
_cell_angle_gamma 90.00
loop_
_atom_site_label
_atom_site_type_symbol
_atom_site_fract_x
_atom_site_fract_y
_atom_site_fract_z
Mg1 Mg 0.000 0.116 0.250
Fe1 Fe 0.000 0.214 0.750
Fe2 Fe 0.000 0.450 0.250
# - Fermi-level density of states (states/eV/cell) = 7.17
# - calculated total energy (eV per cell) = -162.07

Record 12
# MgMnFe2 | Alexandria via LeMat-Bulk | SCAN | single point on PBEsol structure
data_MgMnFe2
_chemical_formula_sum 'Mg1 Mn1 Fe2'
_symmetry_space_group_name_H-M 'P 4 m m'
_symmetry_Int_Tables_number 99
_symmetry_space_group_name_Hall 'P 4 -2'
_cell_length_a 2.875
_cell_length_b 2.875
_cell_length_c 6.355
_cell_angle_alpha 90.00
_cell_angle_beta 90.00
_cell_angle_gamma 90.00
loop_
_atom_site_label
_atom_site_type_symbol
_atom_site_fract_x
_atom_site_fract_y
_atom_site_fract_z
Mg1 Mg 0.000 0.000 0.000
Mn1 Mn 0.500 0.500 0.308
Fe1 Fe 0.000 0.000 0.524
Fe2 Fe 0.500 0.500 0.719
# - Fermi-level density of states (states/eV/cell) = 3.56
# - calculated total energy (eV per cell) = -59.03

Question: Which formula does entry 7 have?
Answer: MgFe3

Question: Among the records above, which one has the highest calculated total energy?
Answer: number 4

Question: Among the records above, which one has the lowest Fermi-level density of states?
Answer: number 3